This record from Alexandria via LeMat-Bulk describes a crystal of LaHgPb2 relaxed with PBEsol. The functional is SCAN.

## Properties
ΔE_f, meV/atom: -524
N(E_F), states/eV per cell: 5.5
Space-group type: Cm

Cell: 11.0119 4.6985 4.6984 Å, 90.00 115.10 90.00°
Fractional coordinates of all 8 atoms:
La 0.0000 0.0000 0.0000
La 0.5000 0.5000 0.0000
Hg 0.2620 0.5000 0.2622
Hg 0.7620 0.0000 0.2622
Pb 0.0251 0.5000 0.5247
Pb 0.2595 0.0000 0.7603
Pb 0.5251 0.0000 0.5247
Pb 0.7595 0.5000 0.7603

***

This record from Alexandria via LeMat-Bulk describes a crystal of La2HgPb relaxed with PBEsol. The functional is SCAN.

## Properties
ΔE_f, meV/atom: -777
N(E_F), states/eV per cell: 3.4
Space-group type: Pmmm

Cell: 3.5805 4.3568 7.4375 Å, 90.00 90.00 90.00°
Fractional coordinates of all 4 atoms:
La 0.0000 0.0000 0.2458
La 0.0000 0.0000 0.7542
Hg 0.5000 0.5000 0.0000
Pb 0.5000 0.5000 0.5000

***

This record from Alexandria via LeMat-Bulk describes a crystal of LaHgPb relaxed with PBEsol. The functional is SCAN.

## Properties
ΔE_f, meV/atom: -714
N(E_F), states/eV per cell: 1.6
Space-group type: P3m1

Cell: 4.8493 4.8493 4.1902 Å, 90.00 90.00 120.00°
Fractional coordinates of all 3 atoms:
La 0.0000 0.0000 0.0000
Hg 0.3333 0.6667 0.6370
Pb 0.6667 0.3333 0.4208

***

This record from Alexandria via LeMat-Bulk describes a crystal of LaHgPb2 relaxed with PBEsol. The functional is SCAN.

## Properties
ΔE_f, meV/atom: -605
N(E_F), states/eV per cell: 2.2
Space-group type: P4/mmm

Cell: 4.8348 4.8348 4.6615 Å, 90.00 90.00 90.00°
Fractional coordinates of all 4 atoms:
La 0.0000 0.0000 0.0000
Hg 0.5000 0.5000 0.0000
Pb 0.0000 0.5000 0.5000
Pb 0.5000 0.0000 0.5000

***

This record from Alexandria via LeMat-Bulk describes a crystal of La2Hg2Pb relaxed with PBEsol. The functional is SCAN.

## Properties
ΔE_f, meV/atom: -705
N(E_F), states/eV per cell: 6.1
Space-group type: P4/mbm
Relative energy among the computed polymorphs, meV per atom: 0

Cell: 8.4891 8.4891 3.9719 Å, 90.00 90.00 90.00°
Fractional coordinates of all 10 atoms:
La 0.1744 0.3256 0.0000
La 0.3256 0.8256 0.0000
La 0.6744 0.1744 0.0000
La 0.8256 0.6744 0.0000
Hg 0.1238 0.6238 0.5000
Hg 0.3762 0.1238 0.5000
Hg 0.6238 0.8762 0.5000
Hg 0.8762 0.3762 0.5000
Pb 0.0000 0.0000 0.5000
Pb 0.5000 0.5000 0.5000

***

This record from Alexandria via LeMat-Bulk describes a crystal of La2HgPb relaxed with PBEsol. The functional is SCAN.

## Properties
ΔE_f, meV/atom: -770
N(E_F), states/eV per cell: 6.7
Space-group type: Cmmm

Cell: 7.3935 8.6135 3.6574 Å, 90.00 90.00 90.00°
Fractional coordinates of all 8 atoms:
La 0.2500 0.2500 0.0000
La 0.2500 0.7500 0.0000
La 0.7500 0.2500 0.0000
La 0.7500 0.7500 0.0000
Hg 0.0000 0.0000 0.5000
Hg 0.5000 0.5000 0.5000
Pb 0.0000 0.5000 0.5000
Pb 0.5000 0.0000 0.5000

***

This record from Alexandria via LeMat-Bulk describes a crystal of LaHg2Pb relaxed with PBEsol. The functional is SCAN.

## Properties
ΔE_f, meV/atom: -388
N(E_F), states/eV per cell: 2.0
Space-group type: Pmm2

Cell: 3.7406 3.7668 7.4786 Å, 90.00 90.00 90.00°
Fractional coordinates of all 4 atoms:
La 0.0000 0.0000 0.0000
Hg 0.0000 0.0000 0.4628
Hg 0.5000 0.5000 0.2579
Pb 0.5000 0.5000 0.7050

***

This record from Alexandria via LeMat-Bulk describes a crystal of La2Hg2Pb relaxed with PBEsol. The functional is SCAN.

## Properties
ΔE_f, meV/atom: -510
N(E_F), states/eV per cell: 9.4
Space-group type: I4/mmm
Relative energy among the computed polymorphs, meV per atom: 195

Cell: 4.2418 4.2418 16.3453 Å, 90.00 90.00 90.00°
Fractional coordinates of all 10 atoms:
La 0.0000 0.0000 0.0970
La 0.0000 0.0000 0.9030
La 0.5000 0.5000 0.4030
La 0.5000 0.5000 0.5970
Hg 0.0000 0.5000 0.2500
Hg 0.0000 0.5000 0.7500
Hg 0.5000 0.0000 0.2500
Hg 0.5000 0.0000 0.7500
Pb 0.0000 0.0000 0.5000
Pb 0.5000 0.5000 0.0000

***

This record from Alexandria via LeMat-Bulk describes a crystal of LaHg2Pb relaxed with PBEsol. The functional is SCAN.

## Properties
ΔE_f, meV/atom: -574
N(E_F), states/eV per cell: 2.1
Space-group type: P4/mmm

Cell: 4.6564 4.6564 4.8117 Å, 90.00 90.00 90.00°
Fractional coordinates of all 4 atoms:
La 0.0000 0.0000 0.0000
Hg 0.0000 0.5000 0.5000
Hg 0.5000 0.0000 0.5000
Pb 0.5000 0.5000 0.0000

***

This record from Alexandria via LeMat-Bulk describes a crystal of La2HgPb relaxed with PBEsol. The functional is SCAN.

## Properties
ΔE_f, meV/atom: -791
N(E_F), states/eV per cell: 3.3
Space-group type: P4/mmm

Cell: 5.2404 5.2404 4.2607 Å, 90.00 90.00 90.00°
Fractional coordinates of all 4 atoms:
La 0.0000 0.5000 0.0000
La 0.5000 0.0000 0.0000
Hg 0.0000 0.0000 0.5000
Pb 0.5000 0.5000 0.5000

***

This record from Alexandria via LeMat-Bulk describes a crystal of LaHgPb relaxed with PBEsol. The functional is SCAN.

## Properties
ΔE_f, meV/atom: -459
N(E_F), states/eV per cell: 8.9
Space-group type: F-43m

Cell: 7.2413 7.2413 7.2413 Å, 90.00 90.00 90.00°
Fractional coordinates of all 12 atoms:
La 0.0000 0.0000 0.0000
La 0.0000 0.5000 0.5000
La 0.5000 0.0000 0.5000
La 0.5000 0.5000 0.0000
Hg 0.0000 0.0000 0.5000
Hg 0.0000 0.5000 0.0000
Hg 0.5000 0.0000 0.0000
Hg 0.5000 0.5000 0.5000
Pb 0.2500 0.2500 0.2500
Pb 0.2500 0.7500 0.7500
Pb 0.7500 0.2500 0.7500
Pb 0.7500 0.7500 0.2500

***

This record from Alexandria via LeMat-Bulk describes a crystal of La2HgPt relaxed with PBEsol. The functional is SCAN.

## Properties
ΔE_f, meV/atom: -994
N(E_F), states/eV per cell: 2.8
Space-group type: Pm

Cell: 3.9966 4.6472 6.0525 Å, 90.00 108.87 90.00°
Fractional coordinates of all 4 atoms:
La 0.0000 0.0000 0.0000
La 0.2748 0.5000 0.5567
Hg 0.7148 0.0000 0.4352
Pt 0.5416 0.5000 0.0870

***

This record from Alexandria via LeMat-Bulk describes a crystal of LaHgPt relaxed with PBEsol. The functional is SCAN.

## Properties
ΔE_f, meV/atom: -939
N(E_F), states/eV per cell: 7.6
Space-group type: F-43m

Cell: 6.7769 6.7769 6.7769 Å, 90.00 90.00 90.00°
Fractional coordinates of all 12 atoms:
La 0.0000 0.0000 0.0000
La 0.0000 0.5000 0.5000
La 0.5000 0.0000 0.5000
La 0.5000 0.5000 0.0000
Hg 0.0000 0.0000 0.5000
Hg 0.0000 0.5000 0.0000
Hg 0.5000 0.0000 0.0000
Hg 0.5000 0.5000 0.5000
Pt 0.2500 0.2500 0.7500
Pt 0.2500 0.7500 0.2500
Pt 0.7500 0.2500 0.2500
Pt 0.7500 0.7500 0.7500

***

This record from Alexandria via LeMat-Bulk describes a crystal of La2HgPt relaxed with PBEsol. The functional is SCAN.

## Properties
ΔE_f, meV/atom: -931
N(E_F), states/eV per cell: 2.3
Space-group type: P4/mmm

Cell: 5.2225 5.2225 3.7481 Å, 90.00 90.00 90.00°
Fractional coordinates of all 4 atoms:
La 0.0000 0.5000 0.0000
La 0.5000 0.0000 0.0000
Hg 0.0000 0.0000 0.5000
Pt 0.5000 0.5000 0.5000

***

This record from Alexandria via LeMat-Bulk describes a crystal of La2HgPt2 relaxed with PBEsol. The functional is SCAN.

## Properties
ΔE_f, meV/atom: -920
N(E_F), states/eV per cell: 6.9
Space-group type: I4/mmm

Cell: 3.9251 3.9251 16.3583 Å, 90.00 90.00 90.00°
Fractional coordinates of all 10 atoms:
La 0.0000 0.0000 0.1181
La 0.0000 0.0000 0.8819
La 0.5000 0.5000 0.3819
La 0.5000 0.5000 0.6181
Hg 0.0000 0.0000 0.5000
Hg 0.5000 0.5000 0.0000
Pt 0.0000 0.5000 0.2500
Pt 0.0000 0.5000 0.7500
Pt 0.5000 0.0000 0.2500
Pt 0.5000 0.0000 0.7500

***

Number 1: E -66.23 eV per atom. Number 2: E -58.32 eV per atom. Number 3: E -63.07 eV per atom. Number 4: E -66.31 eV per atom. Number 5: E -60.37 eV per atom. Number 6: E -58.31 eV per atom. Number 7: E -64.19 eV per atom. Number 8: E -60.17 eV per atom. Number 9: E -64.38 eV per atom. Number 10: E -58.33 eV per atom. Number 11: E -62.81 eV per atom. Number 12: E -57.14 eV per atom. Number 13: E -61.43 eV per atom. Number 14: E -57.07 eV per atom. Number 15: E -59.87 eV per atom.